Entry 1:
Computed, not measured: a relaxed InSnTe2N crystal at the PBE level of DFT.

Values from the calculation:
Polymorph energy (0 for the lowest one): 0 meV/atom
DFT total energy: -18.322 eV/f.u.
Uncorrected formation energy: 0.606 eV per atom

CIF file:
```
data_InSnTe2N
_chemical_formula_sum 'In1 Sn1 Te2 N1'
_space_group_name_H-M_alt 'P 4/m m m'
_space_group_IT_number 123
_space_group_name_Hall '-P 4 2'
_cell_length_a 6.0853
_cell_length_b 6.0853
_cell_length_c 4.0789
_cell_angle_alpha 90.00
_cell_angle_beta 90.00
_cell_angle_gamma 90.00
loop_
_atom_site_label
_atom_site_type_symbol
_atom_site_fract_x
_atom_site_fract_y
_atom_site_fract_z
In1 In 0.0000 0.0000 0.0000
Sn1 Sn 0.5000 0.5000 0.5000
Te1 Te 0.0000 0.5000 0.5000
N1 N 0.5000 0.5000 0.0000
```

---

Entry 2:
Computed, not measured: a relaxed InSnTeN2 crystal at the PBE level of DFT.

Values from the calculation:
Polymorph energy (0 for the lowest one): 156 meV/atom
DFT total energy: -20.219 eV/f.u.
Uncorrected formation energy: 1.263 eV per atom

CIF file:
```
data_InSnTeN2
_chemical_formula_sum 'In1 Sn1 Te1 N2'
_space_group_name_H-M_alt 'P 4/m m m'
_space_group_IT_number 123
_space_group_name_Hall '-P 4 2'
_cell_length_a 4.4006
_cell_length_b 4.4006
_cell_length_c 6.0537
_cell_angle_alpha 90.00
_cell_angle_beta 90.00
_cell_angle_gamma 90.00
loop_
_atom_site_label
_atom_site_type_symbol
_atom_site_fract_x
_atom_site_fract_y
_atom_site_fract_z
In1 In 0.0000 0.0000 0.0000
Sn1 Sn 0.5000 0.5000 0.5000
Te1 Te 0.0000 0.0000 0.5000
N1 N 0.0000 0.5000 0.0000
```

---

Entry 3:
Computed, not measured: a relaxed InSnTe2N crystal at the PBE level of DFT.

Values from the calculation:
Polymorph energy (0 for the lowest one): 88 meV/atom
DFT total energy: -17.884 eV/f.u.
Uncorrected formation energy: 0.693 eV per atom

CIF file:
```
data_InSnTe2N
_chemical_formula_sum 'In1 Sn1 Te2 N1'
_space_group_name_H-M_alt 'P 4/m m m'
_space_group_IT_number 123
_space_group_name_Hall '-P 4 2'
_cell_length_a 5.9768
_cell_length_b 5.9768
_cell_length_c 4.3737
_cell_angle_alpha 90.00
_cell_angle_beta 90.00
_cell_angle_gamma 90.00
loop_
_atom_site_label
_atom_site_type_symbol
_atom_site_fract_x
_atom_site_fract_y
_atom_site_fract_z
In1 In 0.0000 0.0000 0.0000
Sn1 Sn 0.5000 0.5000 0.5000
Te1 Te 0.0000 0.5000 0.0000
N1 N 0.0000 0.0000 0.5000
```

---

Entry 4:
Computed, not measured: a relaxed V2InSnN crystal at the PBE level of DFT.

Values from the calculation:
DFT total energy: -24.497 eV/f.u.
Uncorrected formation energy: 1.761 eV per atom

CIF file:
```
data_V2InSnN
_chemical_formula_sum 'V2 In1 Sn1 N1'
_space_group_name_H-M_alt 'P 4/m m m'
_space_group_IT_number 123
_space_group_name_Hall '-P 4 2'
_cell_length_a 5.0693
_cell_length_b 5.0693
_cell_length_c 3.9531
_cell_angle_alpha 90.00
_cell_angle_beta 90.00
_cell_angle_gamma 90.00
loop_
_atom_site_label
_atom_site_type_symbol
_atom_site_fract_x
_atom_site_fract_y
_atom_site_fract_z
V1 V 0.0000 0.5000 0.0000
In1 In 0.0000 0.0000 0.0000
Sn1 Sn 0.5000 0.5000 0.5000
N1 N 0.0000 0.0000 0.5000
```

---

Entry 5:
Computed, not measured: a relaxed ZnIn2SnN crystal at the PBE level of DFT.

Values from the calculation:
DFT total energy: -12.294 eV/f.u.
Uncorrected formation energy: 1.357 eV per atom

CIF file:
```
data_ZnIn2SnN
_chemical_formula_sum 'Zn1 In2 Sn1 N1'
_space_group_name_H-M_alt 'P 4/m m m'
_space_group_IT_number 123
_space_group_name_Hall '-P 4 2'
_cell_length_a 5.8316
_cell_length_b 5.8316
_cell_length_c 5.1044
_cell_angle_alpha 90.00
_cell_angle_beta 90.00
_cell_angle_gamma 90.00
loop_
_atom_site_label
_atom_site_type_symbol
_atom_site_fract_x
_atom_site_fract_y
_atom_site_fract_z
Zn1 Zn 0.0000 0.0000 0.0000
In1 In 0.0000 0.5000 0.5000
Sn1 Sn 0.0000 0.0000 0.5000
N1 N 0.5000 0.5000 0.0000
```

---

Entry 6:
Computed, not measured: a relaxed Sr4InN crystal at the PBE level of DFT.

Values from the calculation:
Polymorph energy (0 for the lowest one): 0 meV/atom
DFT total energy: -20.307 eV/f.u.
Uncorrected formation energy: -0.419 eV per atom

CIF file:
```
data_Sr4InN
_chemical_formula_sum 'Sr16 In4 N4'
_space_group_name_H-M_alt 'C m c m'
_space_group_IT_number 63
_space_group_name_Hall '-C 2c 2'
_cell_length_a 5.3937
_cell_length_b 19.9430
_cell_length_c 7.5722
_cell_angle_alpha 90.00
_cell_angle_beta 90.00
_cell_angle_gamma 90.00
loop_
_atom_site_label
_atom_site_type_symbol
_atom_site_fract_x
_atom_site_fract_y
_atom_site_fract_z
Sr1 Sr 0.0000 0.0000 0.0000
Sr2 Sr 0.0000 0.1778 0.0064
Sr3 Sr 0.0000 0.4153 0.7500
In1 In 0.0000 0.3915 0.2500
N1 N 0.0000 0.0950 0.2500
```

---

Entry 7:
Computed, not measured: a relaxed Sr3InN crystal at the PBE level of DFT.

Values from the calculation:
DFT total energy: -18.303 eV/f.u.
Uncorrected formation energy: -0.439 eV per atom

CIF file:
```
data_Sr3InN
_chemical_formula_sum 'Sr6 In2 N2'
_space_group_name_H-M_alt 'P -1'
_space_group_IT_number 2
_space_group_name_Hall '-P 1'
_cell_length_a 7.0843
_cell_length_b 7.2281
_cell_length_c 8.2165
_cell_angle_alpha 112.97
_cell_angle_beta 115.37
_cell_angle_gamma 90.10
loop_
_atom_site_label
_atom_site_type_symbol
_atom_site_fract_x
_atom_site_fract_y
_atom_site_fract_z
Sr1 Sr 0.1072 0.0283 0.2344
Sr2 Sr 0.3314 0.4632 0.1630
Sr3 Sr 0.3731 0.9700 0.7653
In1 In 0.0787 0.4264 0.6572
N1 N 0.2745 0.1011 0.0488
```

---

Entry 8:
Computed, not measured: a relaxed Sr4InN crystal at the PBE level of DFT.

Values from the calculation:
Polymorph energy (0 for the lowest one): 61 meV/atom
DFT total energy: -19.941 eV/f.u.
Uncorrected formation energy: -0.358 eV per atom

CIF file:
```
data_Sr4InN
_chemical_formula_sum 'Sr16 In4 N4'
_space_group_name_H-M_alt 'C 1 2/m 1'
_space_group_IT_number 12
_space_group_name_Hall '-C 2y'
_cell_length_a 17.4805
_cell_length_b 7.4958
_cell_length_c 6.7351
_cell_angle_alpha 90.00
_cell_angle_beta 97.04
_cell_angle_gamma 90.00
loop_
_atom_site_label
_atom_site_type_symbol
_atom_site_fract_x
_atom_site_fract_y
_atom_site_fract_z
Sr1 Sr 0.0000 0.2297 0.0000
Sr2 Sr 0.1302 0.2368 0.6215
Sr3 Sr 0.1907 0.0000 0.0945
In1 In 0.1642 0.5000 0.1970
N1 N 0.0815 0.0000 0.8334
```

---

Entry 9:
Computed, not measured: a relaxed Sr4In2N crystal at the PBE level of DFT.

Values from the calculation:
Polymorph energy (0 for the lowest one): 0 meV/atom
DFT total energy: -24.087 eV/f.u.
Uncorrected formation energy: -0.508 eV per atom

CIF file:
```
data_Sr4In2N
_chemical_formula_sum 'Sr16 In8 N4'
_space_group_name_H-M_alt 'I 41/a m d'
_space_group_IT_number 141
_cell_length_a 5.2733
_cell_length_b 5.2733
_cell_length_c 30.9365
_cell_angle_alpha 90.00
_cell_angle_beta 90.00
_cell_angle_gamma 90.00
loop_
_space_group_symop_operation_xyz
'x,y,z'
'-x,-y,-z'
'-y+1/4,x+3/4,z+1/4'
'y+1/4,-x+3/4,-z+1/4'
'-x+1/2,-y,z+1/2'
'x+1/2,y,-z+1/2'
'y+1/4,-x+1/4,z+3/4'
'-y+1/4,x+1/4,-z+3/4'
'x,-y,-z'
'-x,y,z'
'-y+1/4,-x+1/4,-z+3/4'
'y+1/4,x+1/4,z+3/4'
'-x+1/2,y,-z+1/2'
'x+1/2,-y,z+1/2'
'y+1/4,x+3/4,-z+1/4'
'-y+1/4,-x+3/4,z+1/4'
'x+1/2,y+1/2,z+1/2'
'-x+1/2,-y+1/2,-z+1/2'
'-y+3/4,x+1/4,z+3/4'
'y+3/4,-x+1/4,-z+3/4'
'-x,-y+1/2,z'
'x,y+1/2,-z'
'y+3/4,-x+3/4,z+1/4'
'-y+3/4,x+3/4,-z+1/4'
'x+1/2,-y+1/2,-z+1/2'
'-x+1/2,y+1/2,z+1/2'
'-y+3/4,-x+3/4,-z+1/4'
'y+3/4,x+3/4,z+1/4'
'-x,y+1/2,-z'
'x,-y+1/2,z'
'y+3/4,x+1/4,-z+3/4'
'-y+3/4,-x+1/4,z+3/4'
loop_
_atom_site_label
_atom_site_type_symbol
_atom_site_fract_x
_atom_site_fract_y
_atom_site_fract_z
Sr1 Sr 0.0000 0.2500 0.1251
Sr2 Sr 0.0000 0.2500 0.2931
In1 In 0.0000 0.2500 0.7841
N1 N 0.0000 0.2500 0.3750
```

---

Entry 10:
Computed, not measured: a relaxed Sr2InN crystal at the PBE level of DFT.

Values from the calculation:
DFT total energy: -12.793 eV/f.u.
Uncorrected formation energy: 0.409 eV per atom

CIF file:
```
data_Sr2InN
_chemical_formula_sum 'Sr8 In4 N4'
_space_group_name_H-M_alt 'F m -3 m'
_space_group_IT_number 225
_space_group_name_Hall '-F 4 2 3'
_cell_length_a 7.5651
_cell_length_b 7.5651
_cell_length_c 7.5651
_cell_angle_alpha 90.00
_cell_angle_beta 90.00
_cell_angle_gamma 90.00
loop_
_atom_site_label
_atom_site_type_symbol
_atom_site_fract_x
_atom_site_fract_y
_atom_site_fract_z
Sr1 Sr 0.2500 0.2500 0.2500
In1 In 0.0000 0.0000 0.0000
N1 N 0.0000 0.0000 0.5000
```

---

Entry 11:
Computed, not measured: a relaxed Sr10In2N3 crystal at the PBE level of DFT.

Values from the calculation:
DFT total energy: -53.615 eV/f.u.
Uncorrected formation energy: -0.423 eV per atom

CIF file:
```
data_Sr10In2N3
_chemical_formula_sum 'Sr40 In8 N12'
_space_group_name_H-M_alt 'C 1 2/m 1'
_space_group_IT_number 12
_space_group_name_Hall '-C 2y'
_cell_length_a 24.5781
_cell_length_b 7.7191
_cell_length_c 10.7999
_cell_angle_alpha 90.00
_cell_angle_beta 111.75
_cell_angle_gamma 90.00
loop_
_atom_site_label
_atom_site_type_symbol
_atom_site_fract_x
_atom_site_fract_y
_atom_site_fract_z
Sr1 Sr 0.0000 0.2261 0.0000
Sr2 Sr 0.0164 0.5000 0.6723
Sr3 Sr 0.0240 0.0000 0.6881
Sr4 Sr 0.1124 0.2507 0.5297
Sr5 Sr 0.1375 0.0000 0.2514
Sr6 Sr 0.1495 0.2348 0.9707
Sr7 Sr 0.2333 0.0000 0.7614
Sr8 Sr 0.2500 0.2500 0.5000
In1 In 0.1158 0.5000 0.2374
In2 In 0.2219 0.5000 0.7911
N1 N 0.0000 0.2539 0.5000
N2 N 0.0725 0.0000 0.9592
N3 N 0.1764 0.0000 0.5103
```

---

Entry 12:
Computed, not measured: a relaxed Sr2InN crystal at the PBE level of DFT.

Values from the calculation:
DFT total energy: -15.290 eV/f.u.
Uncorrected formation energy: -0.216 eV per atom

CIF file:
```
data_Sr2InN
_chemical_formula_sum 'Sr8 In4 N4'
_space_group_name_H-M_alt 'I -4 2 d'
_space_group_IT_number 122
_space_group_name_Hall 'I -4 2bw'
_cell_length_a 7.5746
_cell_length_b 7.5746
_cell_length_c 8.8423
_cell_angle_alpha 90.00
_cell_angle_beta 90.00
_cell_angle_gamma 90.00
loop_
_atom_site_label
_atom_site_type_symbol
_atom_site_fract_x
_atom_site_fract_y
_atom_site_fract_z
Sr1 Sr 0.1392 0.2500 0.1250
In1 In 0.0000 0.0000 0.5000
N1 N 0.0000 0.0000 0.0000
```

---

What is the uncorrected formation energy in the eleventh record?
-0.423 eV per atom